{"formula": "NaClF3", "functional": "PBE", "state": "optimized geometry", "relative_energy_mev_per_atom": 211.9, "vol_a3_per_atom": 16.4, "n_ef_per_ev_cell": 1.32, "final_energy_ev_per_atom": -2.791, "crystal_system": "cubic", "lattice_angstrom": [[4.346, 0.000, 0.000], [0.000, 4.346, 0.000], [0.000, 0.000, 4.346]], "species": ["Na", "Cl", "F", "F", "F"], "frac_coords": [[0.000, 0.000, 0.000], [0.500, 0.500, 0.500], [0.000, 0.500, 0.500], [0.500, 0.000, 0.500], [0.500, 0.500, 0.000]]}